First-principles (PBE) data for crystalline K2NiSb at its relaxed geometry, as listed in Alexandria via LeMat-Bulk.

- formation energy from raw total energies (eV/atom) = 0.29

Unit cell a=5.9742 b=5.9742 c=3.7624 alpha=90.01 beta=90.01 gamma=122.65
Last column: nearest neighbours and their distance in Å.
Element x y z (fractional)
K 0.5000 0.5000 0.0000  2 K 2.87
Ni 0.5000 0.0000 0.5000  2 Sb 2.87
K 0.0000 0.0000 0.0000  2 K 2.87
Sb 0.0000 0.5000 0.5000  2 Ni 2.87

---

First-principles (PBE) data for crystalline KNi3Sb3 at its relaxed geometry, as listed in Alexandria via LeMat-Bulk.

- formation energy from raw total energies (eV/atom) = -0.16

Unit cell a=7.0381 b=7.0381 c=9.2190 alpha=67.56 beta=67.56 gamma=60.00
Last column: nearest neighbours and their distance in Å.
Element x y z (fractional)
Ni 0.4661 0.7308 0.6089  4 Sb 2.47-2.55, 2 Ni 2.61
K 0.6578 0.6578 0.0266  3 Ni 3.56, 6 Sb 3.62-3.67
Ni 0.2692 0.8058 0.3911  4 Sb 2.47-2.55, 2 Ni 2.61
Sb 0.8346 0.4338 0.6803  4 Ni 2.47-2.55
Sb 0.1654 0.5662 0.3197  4 Ni 2.47-2.55
Ni 0.7308 0.1942 0.6089  4 Sb 2.47-2.55, 2 Ni 2.61
Sb 0.9487 0.1654 0.3197  4 Ni 2.47-2.55
Sb 0.0513 0.8346 0.6803  4 Ni 2.47-2.55
Ni 0.1942 0.4661 0.6089  4 Sb 2.47-2.55, 2 Ni 2.61
Sb 0.4338 0.0513 0.6803  4 Ni 2.47-2.55
Sb 0.5662 0.9487 0.3197  4 Ni 2.47-2.55
K 0.3422 0.3422 0.9734  3 Ni 3.56, 6 Sb 3.62-3.67
Ni 0.5339 0.2692 0.3911  4 Sb 2.47-2.55, 2 Ni 2.61
Ni 0.8058 0.5339 0.3911  4 Sb 2.47-2.55, 2 Ni 2.61

---

First-principles (PBE) data for crystalline K2NiSb at its relaxed geometry, as listed in Alexandria via LeMat-Bulk.

- formation energy from raw total energies (eV/atom) = -0.14

Unit cell a=4.3972 b=4.3972 c=9.7943 alpha=77.68 beta=77.68 gamma=60.06
Last column: nearest neighbours and their distance in Å.
Element x y z (fractional)
K 0.9555 0.9555 0.1195  3 Ni 3.51, 3 Sb 3.51
K 0.7939 0.7939 0.6305  3 Ni 3.51, 3 Sb 3.51
Ni 0.5421 0.5421 0.3750  3 Sb 2.54
Sb 0.2085 0.2085 0.3750  3 Ni 2.54

---

First-principles (PBE) data for crystalline K2NiSb at its relaxed geometry, as listed in Alexandria via LeMat-Bulk.

- formation energy from raw total energies (eV/atom) = 0.23

Unit cell a=5.3305 b=5.3305 c=5.3305 alpha=119.95 beta=119.95 gamma=90.09
Last column: nearest neighbours and their distance in Å.
Element x y z (fractional)
K 0.0000 0.0000 0.0000  4 K 3.27, 4 Sb 3.27
Ni 0.5000 0.5000 0.0000  4 Sb 3.27, 4 K 3.27
K 0.2500 0.7500 0.5000  4 K 3.27, 4 Ni 3.27
Sb 0.7500 0.2500 0.5000  4 Ni 3.27, 4 K 3.27

---

First-principles (PBE) data for crystalline K2NiSb at its relaxed geometry, as listed in Alexandria via LeMat-Bulk.

- formation energy from raw total energies (eV/atom) = 0.43

Unit cell a=6.3679 b=6.3679 c=3.1404 alpha=90.00 beta=90.00 gamma=90.00
Last column: nearest neighbours and their distance in Å.
Element x y z (fractional)
Ni 0.5000 0.0000 0.5000  2 Ni 3.14
Sb 0.0000 0.5000 0.5000  2 Sb 3.14
K 0.5000 0.5000 0.0000  2 K 3.14
K 0.0000 0.0000 0.0000  2 K 3.14

---

First-principles (PBE) data for crystalline KNiSb3 at its relaxed geometry, as listed in Alexandria via LeMat-Bulk.

- formation energy from raw total energies (eV/atom) = 0.06

Unit cell a=5.1876 b=5.1876 c=5.1876 alpha=90.00 beta=90.00 gamma=90.00
Last column: nearest neighbours and their distance in Å.
Element x y z (fractional)
Ni 0.0000 0.0000 0.0000  6 Sb 2.59
Sb 0.5000 0.0000 0.0000  2 Ni 2.59
K 0.5000 0.5000 0.5000  12 Sb 3.67
Sb 0.0000 0.0000 0.5000  2 Ni 2.59
Sb 0.0000 0.5000 0.0000  2 Ni 2.59

---

First-principles (PBE) data for crystalline K2NiSb at its relaxed geometry, as listed in Alexandria via LeMat-Bulk.

- formation energy from raw total energies (eV/atom) = -0.11

Unit cell a=6.3669 b=6.3669 c=6.3669 alpha=139.57 beta=125.06 gamma=70.39
Last column: nearest neighbours and their distance in Å.
Element x y z (fractional)
K 0.7227 0.2227 0.5000  4 K 3.53-3.92, 4 Ni 3.58-3.85, 4 Sb 3.82
K 0.0347 0.0347 0.0000  4 K 3.53-3.92, 4 Sb 3.67-3.73, 4 Ni 3.86
Ni 0.4190 0.4190 0.0000  2 Sb 2.41
Sb 0.3235 0.8235 0.5000  2 Ni 2.41

---

First-principles (PBE) data for crystalline K2NiSb at its relaxed geometry, as listed in Alexandria via LeMat-Bulk.

- formation energy from raw total energies (eV/atom) = 0.29

Unit cell a=3.8119 b=5.2233 c=5.6915 alpha=90.00 beta=90.00 gamma=90.00
Last column: nearest neighbours and their distance in Å.
Element x y z (fractional)
K 0.0000 0.0000 0.0030  2 K 2.81-2.88
Sb 0.5000 0.5000 0.7500  2 Ni 2.85
Ni 0.5000 0.5000 0.2500  2 Sb 2.85
K 0.0000 0.0000 0.4970  2 K 2.81-2.88